A plane-wave DFT calculation with GGA-PBE was carried out for a relaxed structure of CuSbTeIr2.

Properties
The size of the total moment comes out at 0.00 μB per cell. As for the total energy: -23.08 eV/cell. As for the formation energy without anion corrections: 1.201 eV per atom.

a = 4.955 Å, b = 4.672 Å, c = 4.955 Å
α = 90.00°, β = 90.00°, γ = 90.00°
Element x y z (fractional)
Te (0.500, 0.500, 0.500)
Cu (0.000, 0.500, 0.000)
Ir (0.000, 0.000, 0.500)
Ir (0.500, 0.000, 0.000)
Sb (0.000, 0.000, 0.000)

A plane-wave DFT calculation with GGA-PBE was carried out for a relaxed structure of CuSb2TeIr.

Properties
The size of the total moment comes out at 0.00 μB per cell. As for the total energy: -19.38 eV/cell. As for the formation energy without anion corrections: 0.992 eV per atom.

a = 4.891 Å, b = 4.891 Å, c = 5.023 Å
α = 90.00°, β = 90.00°, γ = 90.00°
Element x y z (fractional)
Cu (0.000, 0.000, 0.000)
Sb (0.000, 0.500, 0.000)
Ir (0.500, 0.500, 0.500)
Te (0.000, 0.000, 0.500)
Sb (0.500, 0.000, 0.000)

A plane-wave DFT calculation with GGA-PBE was carried out for a relaxed structure of CuSb2TeIr.

Properties
The size of the total moment comes out at 0.00 μB per cell. As for the total energy: -20.66 eV/cell. As for the formation energy without anion corrections: 0.736 eV per atom.

a = 5.019 Å, b = 5.019 Å, c = 5.723 Å
α = 90.00°, β = 90.00°, γ = 90.00°
Element x y z (fractional)
Ir (0.000, 0.000, 0.000)
Te (0.000, 0.000, 0.500)
Cu (0.500, 0.500, 0.500)
Sb (0.500, 0.000, 0.000)
Sb (0.000, 0.500, 0.000)